No. 1
B4C (PBE, optimized geometry); energy of formation = 3.57 eV per formula unit; volume = 7.5 Å³/atom; final energy = -64.721 eV/cell
1.0
1.318 0.761 12.449
-1.318 0.761 12.449
0.000 -1.522 12.449
B C
8 2
Direct
0.086 0.086 0.086 B
0.132 0.132 0.132 B
0.274 0.274 0.274 B
0.319 0.319 0.319 B
0.681 0.681 0.681 B
0.726 0.726 0.726 B
0.868 0.868 0.868 B
0.914 0.914 0.914 B
0.479 0.479 0.479 C
0.521 0.521 0.521 C

No. 2
PrSm12Sc6 (PBE, optimized geometry); energy of formation = 4.53 eV per formula unit; volume = 31.3 Å³/atom; final energy = -94.872 eV/cell
1.0
-5.299 5.299 5.299
5.299 -5.299 5.299
5.299 5.299 -5.299
Pr Sm Sc
1 12 6
Direct
0.000 0.000 0.000 Pr
0.071 0.801 0.269 Sm
0.199 0.269 0.468 Sm
0.199 0.731 0.929 Sm
0.269 0.071 0.801 Sm
0.269 0.468 0.199 Sm
0.468 0.199 0.269 Sm
0.532 0.801 0.731 Sm
0.731 0.532 0.801 Sm
0.731 0.929 0.199 Sm
0.801 0.269 0.071 Sm
0.801 0.731 0.532 Sm
0.929 0.199 0.731 Sm
0.138 0.638 0.500 Sc
0.362 0.500 0.862 Sc
0.500 0.138 0.638 Sc
0.500 0.862 0.362 Sc
0.638 0.500 0.138 Sc
0.862 0.362 0.500 Sc

No. 3
InCuSn (PBE, optimized geometry); energy of formation = 0.08 eV per formula unit; volume = 21.7 Å³/atom; final energy = -21.512 eV/cell
1.0
4.064 0.000 0.000
0.020 5.364 0.000
1.975 1.523 5.969
In Cu Sn
2 2 2
Direct
0.000 0.000 0.000 In
0.279 0.893 0.429 In
0.080 0.529 0.846 Cu
0.626 0.829 0.746 Cu
0.426 0.467 0.160 Sn
0.700 0.353 0.607 Sn

No. 4
Np2As3PdRh4 (PBE, optimized geometry); energy of formation = -5.30 eV per formula unit; volume = 17.9 Å³/atom; final energy = -79.729 eV/cell
1.0
3.958 0.000 0.000
0.000 3.958 0.000
0.000 0.000 11.452
Np As Pd Rh
2 3 1 4
Direct
0.000 0.500 0.239 Np
0.500 0.000 0.761 Np
0.000 0.000 0.000 As
0.000 0.500 0.627 As
0.500 0.000 0.373 As
0.500 0.500 0.000 Pd
0.000 0.000 0.500 Rh
0.000 0.500 0.834 Rh
0.500 0.000 0.166 Rh
0.500 0.500 0.500 Rh

No. 5
U2TaIr9 (PBE, optimized geometry); energy of formation = -7.55 eV per formula unit; volume = 16.1 Å³/atom; final energy = -121.723 eV/cell
1.0
4.007 0.000 0.000
0.000 4.007 0.000
0.000 0.000 12.033
U Ta Ir
2 1 9
Direct
0.000 0.000 0.169 U
0.000 0.000 0.831 U
0.000 0.000 0.500 Ta
0.000 0.500 0.000 Ir
0.000 0.500 0.340 Ir
0.000 0.500 0.660 Ir
0.500 0.000 0.000 Ir
0.500 0.000 0.340 Ir
0.500 0.000 0.660 Ir
0.500 0.500 0.171 Ir
0.500 0.500 0.500 Ir
0.500 0.500 0.829 Ir

No. 6
AlAg2Pt (PBE, optimized geometry); energy of formation = -1.12 eV per formula unit; volume = 16.3 Å³/atom; final energy = -16.606 eV/cell
1.0
5.069 -1.452 0.000
5.069 1.452 0.000
-1.308 0.000 4.426
Al Ag Pt
1 2 1
Direct
0.000 0.000 0.000 Al
0.264 0.264 0.759 Ag
0.736 0.736 0.241 Ag
0.500 0.500 0.500 Pt

No. 7
Ba2PSe (PBE, optimized geometry); formation energy without anion corrections = -1151 meV/atom; volume = 31.7 Å³/atom; final energy = -17.343 eV/cell
1.0
0.000 3.987 3.987
3.987 0.000 3.987
3.987 3.987 0.000
Ba P Se
2 1 1
Direct
0.250 0.250 0.250 Ba
0.750 0.750 0.750 Ba
0.000 0.000 0.000 P
0.500 0.500 0.500 Se

No. 8
AcCeBi2 (PBE, optimized geometry); energy of formation = -3.44 eV per formula unit; volume = 37.6 Å³/atom; final energy = -42.489 eV/cell
1.0
4.713 0.000 0.000
-2.356 4.081 0.000
0.000 0.000 15.635
Ac Ce Bi
2 2 4
Direct
0.333 0.667 0.250 Ac
0.667 0.333 0.750 Ac
0.000 0.000 0.000 Ce
0.000 0.000 0.500 Ce
0.333 0.667 0.615 Bi
0.333 0.667 0.885 Bi
0.667 0.333 0.115 Bi
0.667 0.333 0.385 Bi

No. 9
Ba2TlBi4Pd3 (PBE, optimized geometry); energy of formation = -5.31 eV per formula unit; volume = 29.1 Å³/atom; final energy = -42.625 eV/cell
1.0
5.021 0.000 0.000
0.000 5.021 0.000
0.000 0.000 11.539
Ba Tl Bi Pd
2 1 4 3
Direct
0.000 0.500 0.248 Ba
0.500 0.000 0.752 Ba
0.000 0.000 0.500 Tl
0.000 0.000 0.000 Bi
0.000 0.500 0.645 Bi
0.500 0.000 0.355 Bi
0.500 0.500 0.000 Bi
0.000 0.500 0.884 Pd
0.500 0.000 0.116 Pd
0.500 0.500 0.500 Pd

No. 10
KCd6Pt6 (PBE, optimized geometry); energy of formation = -4.26 eV per formula unit; volume = 19.7 Å³/atom; final energy = -47.096 eV/cell
1.0
-2.818 4.672 4.862
2.818 -4.672 4.862
2.818 4.672 -4.862
K Cd Pt
1 6 6
Direct
0.000 0.000 0.000 K
0.180 0.680 0.500 Cd
0.337 0.000 0.337 Cd
0.343 0.343 0.000 Cd
0.657 0.657 0.000 Cd
0.663 0.000 0.663 Cd
0.820 0.320 0.500 Cd
0.000 0.000 0.500 Pt
0.000 0.500 0.000 Pt
0.244 0.500 0.744 Pt
0.500 0.000 0.000 Pt
0.500 0.500 0.500 Pt
0.756 0.500 0.256 Pt

No. 11
Pu2PaTc (PBE, optimized geometry); energy of formation = 0.11 eV per formula unit; volume = 20.9 Å³/atom; final energy = -48.414 eV/cell
1.0
3.402 0.000 0.000
0.000 3.402 0.000
0.000 0.000 7.220
Pu Pa Tc
2 1 1
Direct
0.000 0.000 0.227 Pu
0.000 0.000 0.773 Pu
0.500 0.500 0.500 Pa
0.500 0.500 0.000 Tc

No. 12
Ca2SiSbRh6 (PBE, optimized geometry); formation energy without anion corrections = -441 meV/atom; volume = 19.6 Å³/atom; final energy = -62.066 eV/cell
1.0
6.472 0.000 0.000
3.135 5.667 0.000
3.145 1.858 5.356
Ca Si Sb Rh
2 1 1 6
Direct
0.196 0.196 0.196 Ca
0.804 0.804 0.804 Ca
0.000 0.000 0.000 Si
0.500 0.500 0.500 Sb
0.153 0.629 0.321 Rh
0.321 0.153 0.629 Rh
0.371 0.679 0.847 Rh
0.629 0.321 0.153 Rh
0.679 0.847 0.371 Rh
0.847 0.371 0.679 Rh

Copy entry 1 word for word.
B4C (PBE, optimized geometry); energy of formation = 3.57 eV per formula unit; volume = 7.5 Å³/atom; final energy = -64.721 eV/cell
1.0
1.318 0.761 12.449
-1.318 0.761 12.449
0.000 -1.522 12.449
B C
8 2
Direct
0.086 0.086 0.086 B
0.132 0.132 0.132 B
0.274 0.274 0.274 B
0.319 0.319 0.319 B
0.681 0.681 0.681 B
0.726 0.726 0.726 B
0.868 0.868 0.868 B
0.914 0.914 0.914 B
0.479 0.479 0.479 C
0.521 0.521 0.521 C